Below is a geometry-optimized Mg2VMo structure, with properties calculated at the PBE level.

Cell and atoms, written as CIF:
```
data_Mg2VMo
_chemical_formula_sum 'Mg8 V4 Mo4'
_cell_length_a 7.3896
_cell_length_b 7.3896
_cell_length_c 5.2757
_cell_angle_alpha 90.00
_cell_angle_beta 90.00
_cell_angle_gamma 90.00
_space_group_name_H-M_alt 'I -4 2 d'
_space_group_IT_number 122
_space_group_name_Hall 'I -4 2bw'
loop_
_atom_site_label
_atom_site_fract_x
_atom_site_fract_y
_atom_site_fract_z
Mg1 0.2469 0.2500 0.1250
V1 0.0000 0.0000 0.0000
Mo1 0.0000 0.0000 0.5000
```

total moment = 1.449 μB/f.u.
uncorrected energy = -4.90 eV/atom
DOS at the Fermi energy = 0.751 states/eV/atom